The following is a GGA-PBE calculation of Cs3Pm2YS6 after structural relaxation, from Alexandria via LeMat-Bulk.

**Symmetry**: C2/m, No. 12
**Crystal system**: monoclinic

Cell: 7.2473 7.2473 8.4385 Å, 98.23 98.23 120.00°
Element x y z (fractional)
1 Cs 0.0000 0.0000 0.0000
2 Cs 0.3324 0.6676 0.0000
3 Cs 0.6676 0.3324 0.0000
4 Pm 0.1666 0.8334 0.5000
5 Pm 0.8334 0.1666 0.5000
6 Y 0.5000 0.5000 0.5000
7 S 0.1114 0.4386 0.3159
8 S 0.2343 0.2343 0.6846
9 S 0.4386 0.1114 0.3159
10 S 0.5614 0.8886 0.6841
11 S 0.7657 0.7657 0.3154
12 S 0.8886 0.5614 0.6841

The following is a GGA-PBE calculation of CsPmZnS3 after structural relaxation, from Alexandria via LeMat-Bulk.

**Symmetry**: P2_1/m, No. 11
**Crystal system**: monoclinic

Cell: 9.5239 4.1194 9.9364 Å, 90.00 110.05 90.00°
Element x y z (fractional)
1 Cs 0.2093 0.2500 0.2383
2 Cs 0.7907 0.7500 0.7617
3 Pm 0.3331 0.7500 0.8567
4 Pm 0.6669 0.2500 0.1433
5 Zn 0.0819 0.2500 0.6103
6 Zn 0.9181 0.7500 0.3897
7 S 0.1256 0.2500 0.8531
8 S 0.1783 0.7500 0.5393
9 S 0.4699 0.7500 0.1519
10 S 0.5301 0.2500 0.8481
11 S 0.8217 0.2500 0.4607
12 S 0.8744 0.7500 0.1469

The following is a GGA-PBE calculation of Cs2PmZn2S4 after structural relaxation, from Alexandria via LeMat-Bulk.

**Symmetry**: C2/m, No. 12
**Crystal system**: monoclinic

Cell: 8.0505 8.0505 8.1425 Å, 108.41 108.41 30.47°
Element x y z (fractional)
1 Cs 0.1326 0.1326 0.0529
2 Cs 0.8674 0.8674 0.9471
3 Pm 0.0000 0.0000 0.5000
4 Zn 0.3249 0.3249 0.5119
5 Zn 0.6751 0.6751 0.4881
6 S 0.1983 0.1983 0.6474
7 S 0.4727 0.4727 0.7179
8 S 0.5273 0.5273 0.2821
9 S 0.8017 0.8017 0.3526

The following is a GGA-PBE calculation of Cs3Pm3ZrS8 after structural relaxation, from Alexandria via LeMat-Bulk.

**Symmetry**: R-3m, No. 166
**Crystal system**: trigonal

Cell: 9.4947 9.4947 9.4947 Å, 51.05 51.05 51.05°
Element x y z (fractional)
1 Cs 0.0000 0.5000 0.5000
2 Cs 0.5000 0.0000 0.5000
3 Cs 0.5000 0.5000 0.0000
4 Pm 0.0000 0.0000 0.5000
5 Pm 0.0000 0.5000 0.0000
6 Pm 0.5000 0.0000 0.0000
7 Zr 0.5000 0.5000 0.5000
8 S 0.2285 0.2285 0.2285
9 S 0.2486 0.7138 0.7138
10 S 0.2862 0.2862 0.7514
11 S 0.2862 0.7514 0.2862
12 S 0.7138 0.2486 0.7138
13 S 0.7138 0.7138 0.2486
14 S 0.7514 0.2862 0.2862
15 S 0.7715 0.7715 0.7715

The following is a GGA-PBE calculation of Cs3Pm2ZrS6 after structural relaxation, from Alexandria via LeMat-Bulk.

**Symmetry**: C2/m, No. 12
**Crystal system**: monoclinic

Cell: 7.0694 7.0694 8.4257 Å, 98.05 98.05 120.00°
Element x y z (fractional)
1 Cs 0.0000 0.0000 0.0000
2 Cs 0.3305 0.6695 0.0000
3 Cs 0.6695 0.3305 0.0000
4 Pm 0.1665 0.8335 0.5000
5 Pm 0.8335 0.1665 0.5000
6 Zr 0.5000 0.5000 0.5000
7 S 0.1259 0.4388 0.3167
8 S 0.2489 0.2489 0.6847
9 S 0.4388 0.1259 0.3167
10 S 0.5612 0.8741 0.6833
11 S 0.7511 0.7511 0.3153
12 S 0.8741 0.5612 0.6833

The following is a GGA-PBE calculation of CsPm2Sb after structural relaxation, from Alexandria via LeMat-Bulk.

**Symmetry**: P4/mmm, No. 123
**Crystal system**: tetragonal

Cell: 5.3149 5.3149 4.6142 Å, 90.00 90.00 90.00°
Element x y z (fractional)
1 Cs 0.0000 0.0000 0.0000
2 Pm 0.0000 0.5000 0.5000
3 Pm 0.5000 0.0000 0.5000
4 Sb 0.5000 0.5000 0.0000

The following is a GGA-PBE calculation of Cs3PmSb2Se6 after structural relaxation, from Alexandria via LeMat-Bulk.

**Symmetry**: C2/m, No. 12
**Crystal system**: monoclinic

Cell: 7.5199 7.5199 8.7157 Å, 98.27 98.27 120.00°
Element x y z (fractional)
1 Cs 0.0000 0.0000 0.0000
2 Cs 0.3336 0.6664 0.0000
3 Cs 0.6664 0.3336 0.0000
4 Pm 0.5000 0.5000 0.5000
5 Sb 0.1666 0.8334 0.5000
6 Sb 0.8334 0.1666 0.5000
7 Se 0.1000 0.4375 0.3126
8 Se 0.2247 0.2247 0.6870
9 Se 0.4375 0.1000 0.3126
10 Se 0.5625 0.9000 0.6874
11 Se 0.7753 0.7753 0.3130
12 Se 0.9000 0.5625 0.6874

The following is a GGA-PBE calculation of Cs2PmSbSe4 after structural relaxation, from Alexandria via LeMat-Bulk.

**Symmetry**: Imma, No. 74
**Crystal system**: orthorhombic

Cell: 9.1714 9.1714 9.1714 Å, 120.45 119.55 90.00°
Element x y z (fractional)
1 Cs 0.0000 0.0000 0.0000
2 Cs 0.5000 0.0000 0.0000
3 Cs 0.5000 0.0000 0.5000
4 Cs 0.5000 0.5000 0.5000
5 Pm 0.0000 0.0000 0.5000
6 Pm 0.0000 0.5000 0.0000
7 Sb 0.0000 0.5000 0.5000
8 Sb 0.5000 0.5000 0.0000
9 Se 0.1899 0.7288 0.4611
10 Se 0.2308 0.2714 0.5406
11 Se 0.2308 0.6902 0.9594
12 Se 0.2324 0.2712 0.9611
13 Se 0.7676 0.7288 0.0389
14 Se 0.7692 0.3098 0.0406
15 Se 0.7692 0.7286 0.4594
16 Se 0.8101 0.2712 0.5389

The following is a GGA-PBE calculation of Cs3Pm3SbSe8 after structural relaxation, from Alexandria via LeMat-Bulk.

**Symmetry**: R-3m, No. 166
**Crystal system**: trigonal

Cell: 9.8960 9.8960 9.8960 Å, 51.35 51.35 51.35°
Element x y z (fractional)
1 Cs 0.0000 0.5000 0.5000
2 Cs 0.5000 0.0000 0.5000
3 Cs 0.5000 0.5000 0.0000
4 Pm 0.0000 0.0000 0.5000
5 Pm 0.0000 0.5000 0.0000
6 Pm 0.5000 0.0000 0.0000
7 Sb 0.5000 0.5000 0.5000
8 Se 0.2295 0.2295 0.2295
9 Se 0.2418 0.7203 0.7203
10 Se 0.2797 0.2797 0.7582
11 Se 0.2797 0.7582 0.2797
12 Se 0.7203 0.2418 0.7203
13 Se 0.7203 0.7203 0.2418
14 Se 0.7582 0.2797 0.2797
15 Se 0.7705 0.7705 0.7705

The following is a GGA-PBE calculation of Cs3PmSb2Te6 after structural relaxation, from Alexandria via LeMat-Bulk.

**Symmetry**: C2/m, No. 12
**Crystal system**: monoclinic

Cell: 8.0005 8.0005 9.2889 Å, 98.26 98.26 120.00°
Element x y z (fractional)
1 Cs 0.0000 0.0000 0.0000
2 Cs 0.3349 0.6651 0.0000
3 Cs 0.6651 0.3349 0.0000
4 Pm 0.5000 0.5000 0.5000
5 Sb 0.1667 0.8333 0.5000
6 Sb 0.8333 0.1667 0.5000
7 Te 0.0974 0.4368 0.3109
8 Te 0.2232 0.2232 0.6882
9 Te 0.4368 0.0974 0.3109
10 Te 0.5632 0.9026 0.6891
11 Te 0.7768 0.7768 0.3118
12 Te 0.9026 0.5632 0.6891

The following is a GGA-PBE calculation of Cs3PmSc2Se6 after structural relaxation, from Alexandria via LeMat-Bulk.

**Symmetry**: C2/m, No. 12
**Crystal system**: monoclinic

Cell: 7.2319 7.2319 8.6698 Å, 98.01 98.01 119.99°
Element x y z (fractional)
1 Cs 0.0000 0.0000 0.0000
2 Cs 0.3371 0.6629 0.0000
3 Cs 0.6629 0.3371 0.0000
4 Pm 0.5000 0.5000 0.5000
5 Sc 0.1669 0.8331 0.5000
6 Sc 0.8331 0.1669 0.5000
7 Se 0.0881 0.4396 0.3187
8 Se 0.2085 0.2085 0.6796
9 Se 0.4396 0.0881 0.3187
10 Se 0.5604 0.9119 0.6813
11 Se 0.7915 0.7915 0.3204
12 Se 0.9119 0.5604 0.6813

The following is a GGA-PBE calculation of CsPmScSe3 after structural relaxation, from Alexandria via LeMat-Bulk.

**Symmetry**: P2_1/m, No. 11
**Crystal system**: monoclinic

Cell: 9.7085 4.4871 10.5811 Å, 90.00 110.50 90.00°
Element x y z (fractional)
1 Cs 0.2151 0.2500 0.2318
2 Cs 0.7849 0.7500 0.7682
3 Pm 0.3366 0.7500 0.8666
4 Pm 0.6634 0.2500 0.1334
5 Sc 0.0896 0.2500 0.6085
6 Sc 0.9104 0.7500 0.3915
7 Se 0.1237 0.2500 0.8610
8 Se 0.1953 0.7500 0.5517
9 Se 0.4746 0.7500 0.1574
10 Se 0.5254 0.2500 0.8426
11 Se 0.8047 0.2500 0.4483
12 Se 0.8763 0.7500 0.1390

The following is a GGA-PBE calculation of Cs3Pm2ScSe6 after structural relaxation, from Alexandria via LeMat-Bulk.

**Symmetry**: C2/m, No. 12
**Crystal system**: monoclinic

Cell: 7.4068 7.4068 8.7240 Å, 98.15 98.15 119.99°
Element x y z (fractional)
1 Cs 0.0000 0.0000 0.0000
2 Cs 0.3297 0.6703 0.0000
3 Cs 0.6703 0.3297 0.0000
4 Pm 0.1664 0.8336 0.5000
5 Pm 0.8336 0.1664 0.5000
6 Sc 0.5000 0.5000 0.5000
7 Se 0.1227 0.4385 0.3156
8 Se 0.2462 0.2462 0.6862
9 Se 0.4385 0.1227 0.3156
10 Se 0.5615 0.8773 0.6844
11 Se 0.7538 0.7538 0.3138
12 Se 0.8773 0.5615 0.6844

The following is a GGA-PBE calculation of Cs4Pm3ScSe8 after structural relaxation, from Alexandria via LeMat-Bulk.

**Symmetry**: C2/m, No. 12
**Crystal system**: monoclinic

Cell: 8.6045 8.6045 9.7443 Å, 116.21 116.21 59.99°
Element x y z (fractional)
1 Cs 0.0000 0.0000 0.0000
2 Cs 0.0000 0.5000 0.0000
3 Cs 0.5000 0.0000 0.0000
4 Cs 0.5000 0.5000 0.0000
5 Pm 0.0000 0.0000 0.5000
6 Pm 0.0000 0.5000 0.5000
7 Pm 0.5000 0.0000 0.5000
8 Sc 0.5000 0.5000 0.5000
9 Se 0.2308 0.2308 0.6917
10 Se 0.2436 0.7207 0.6844
11 Se 0.2793 0.7564 0.3156
12 Se 0.2804 0.2804 0.3161
13 Se 0.7196 0.7196 0.6839
14 Se 0.7207 0.2436 0.6844
15 Se 0.7564 0.2793 0.3156
16 Se 0.7692 0.7692 0.3083

The following is a GGA-PBE calculation of Cs3PmSc2Te6 after structural relaxation, from Alexandria via LeMat-Bulk.

**Symmetry**: C2/m, No. 12
**Crystal system**: monoclinic

Cell: 7.7376 7.7376 9.2435 Å, 98.04 98.04 119.99°
Element x y z (fractional)
1 Cs 0.0000 0.0000 0.0000
2 Cs 0.3385 0.6615 0.0000
3 Cs 0.6615 0.3385 0.0000
4 Pm 0.5000 0.5000 0.5000
5 Sc 0.1672 0.8328 0.5000
6 Sc 0.8328 0.1672 0.5000
7 Te 0.0876 0.4382 0.3147
8 Te 0.2105 0.2105 0.6831
9 Te 0.4382 0.0876 0.3147
10 Te 0.5618 0.9124 0.6853
11 Te 0.7895 0.7895 0.3169
12 Te 0.9124 0.5618 0.6853

The following is a GGA-PBE calculation of Cs3Pm2ScTe6 after structural relaxation, from Alexandria via LeMat-Bulk.

**Symmetry**: C2/m, No. 12
**Crystal system**: monoclinic

Cell: 7.9024 7.9024 9.2887 Å, 98.16 98.16 120.01°
Element x y z (fractional)
1 Cs 0.0000 0.0000 0.0000
2 Cs 0.3282 0.6718 0.0000
3 Cs 0.6718 0.3282 0.0000
4 Pm 0.1661 0.8339 0.5000
5 Pm 0.8339 0.1661 0.5000
6 Sc 0.5000 0.5000 0.5000
7 Te 0.1206 0.4374 0.3117
8 Te 0.2470 0.2470 0.6906
9 Te 0.4374 0.1206 0.3117
10 Te 0.5626 0.8794 0.6883
11 Te 0.7530 0.7530 0.3094
12 Te 0.8794 0.5626 0.6883

The following is a GGA-PBE calculation of CsPmScTe3 after structural relaxation, from Alexandria via LeMat-Bulk.

**Symmetry**: P2_1/m, No. 11
**Crystal system**: monoclinic

Cell: 10.3131 4.7131 11.1683 Å, 90.00 110.82 90.00°
Element x y z (fractional)
1 Cs 0.2139 0.2500 0.2378
2 Cs 0.7861 0.7500 0.7622
3 Pm 0.3368 0.7500 0.8668
4 Pm 0.6632 0.2500 0.1332
5 Sc 0.0873 0.2500 0.6077
6 Sc 0.9127 0.7500 0.3923
7 Te 0.1210 0.2500 0.8667
8 Te 0.2059 0.7500 0.5479
9 Te 0.4721 0.7500 0.1639
10 Te 0.5279 0.2500 0.8361
11 Te 0.7941 0.2500 0.4521
12 Te 0.8790 0.7500 0.1333

The following is a GGA-PBE calculation of CsPm6Se8 after structural relaxation, from Alexandria via LeMat-Bulk.

**Symmetry**: P-3, No. 147
**Crystal system**: trigonal

Cell: 11.4110 11.4110 4.2709 Å, 90.00 90.00 120.00°
Element x y z (fractional)
1 Cs 0.0000 0.0000 0.0000
2 Pm 0.1387 0.6581 0.7494
3 Pm 0.3419 0.4806 0.7494
4 Pm 0.4806 0.1387 0.2506
5 Pm 0.5194 0.8613 0.7494
6 Pm 0.6581 0.5194 0.2506
7 Pm 0.8613 0.3419 0.2506
8 Se 0.0466 0.3612 0.7511
9 Se 0.3146 0.9534 0.7511
10 Se 0.3333 0.6667 0.2491
11 Se 0.3612 0.3146 0.2489
12 Se 0.6388 0.6854 0.7511
13 Se 0.6667 0.3333 0.7509
14 Se 0.6854 0.0466 0.2489
15 Se 0.9534 0.6388 0.2489

The following is a GGA-PBE calculation of Cs3PmSe3 after structural relaxation, from Alexandria via LeMat-Bulk.

**ΔE to the lowest computed polymorph**: 0 meV per atom
**Symmetry**: C2/m, No. 12
**Crystal system**: monoclinic

Cell: 9.1359 9.1359 8.8958 Å, 95.91 95.91 113.95°
Element x y z (fractional)
1 Cs 0.1813 0.8187 0.0000
2 Cs 0.2490 0.7510 0.5000
3 Cs 0.3783 0.3783 0.1370
4 Cs 0.6217 0.6217 0.8630
5 Cs 0.7510 0.2490 0.5000
6 Cs 0.8187 0.1813 0.0000
7 Pm 0.1792 0.1792 0.6414
8 Pm 0.8208 0.8208 0.3586
9 Se 0.0951 0.0951 0.3149
10 Se 0.1640 0.4576 0.7742
11 Se 0.4576 0.1640 0.7742
12 Se 0.5424 0.8360 0.2258
13 Se 0.8360 0.5424 0.2258
14 Se 0.9049 0.9049 0.6851

The following is a GGA-PBE calculation of Cs2Pm3Se4 after structural relaxation, from Alexandria via LeMat-Bulk.

**Symmetry**: Fmmm, No. 69
**Crystal system**: orthorhombic

Cell: 10.0802 9.2869 7.0672 Å, 74.73 62.72 42.56°
Element x y z (fractional)
1 Cs 0.1978 0.1978 0.8022
2 Cs 0.8022 0.8022 0.1978
3 Pm 0.0000 0.0000 0.5000
4 Pm 0.5000 0.5000 0.0000
5 Pm 0.5000 0.5000 0.5000
6 Se 0.1893 0.5747 0.4253
7 Se 0.4253 0.8107 0.1893
8 Se 0.5747 0.1893 0.8107
9 Se 0.8107 0.4253 0.5747

Sequential formation energy without anion corrections output: -1823.3 -1477.0 -1143.2 -1777.6 -1661.9 -36.6 -1022.1 -1128.6 -1411.7 -814.7 -1612.4 -1593.3 -1666.4 -1681.0 -1284.5 -1343.8 -1251.4 -1758.4 -1420.3 -1277.6 meV/atom
Sequential calculated total energy output: -5.4309 -4.6871 -3.9783 -5.6696 -5.4431 -3.6559 -4.0607 -4.1934 -4.6658 -3.6819 -5.0192 -5.3248 -4.9415 -4.9231 -4.5199 -4.4474 -4.8115 -5.5739 -3.9581 -4.5995 eV per atom
Sequential magnetic moment output: 0.000 0.000 0.002 0.000 0.000 0.000 0.000 0.000 0.000 0.000 0.000 0.001 0.000 0.000 0.000 0.000 0.222 0.663 0.000 0.724 μB/f.u.